Compound: LiPu2Pb
Source: the Alexandria database
Functional: PBE
Structure: optimized geometry

The structure in POSCAR format:
```
LiPu2Pb
1.0
3.6031 0.0000 0.0000
0.0000 3.6031 0.0000
0.0000 0.0000 5.5032
Li Pu Pb
1 2 1
direct
0.0000 0.0000 0.0000 Li
0.0000 0.5000 0.5000 Pu
0.5000 0.0000 0.5000 Pu
0.5000 0.5000 0.0000 Pb
```

Computed properties:
Space-group type ... P4/mmm (123)
DFT formation energy ... 1.550 eV/f.u.
Total magnetic moment ... 0.00 μB/f.u.